{"formula": "AcZrAs3", "functional": "PBE-GGA", "state": "optimized geometry", "e_tot_ev_per_cell": -30.1, "spacegroup": "No. 221", "density_g_cm3": 6.5, "lattice_angstrom": [[5.1833, 0.0000, 0.0000], [0.0000, 5.1833, 0.0000], [0.0000, 0.0000, 5.1833]], "species": ["Ac", "Zr", "As", "As", "As"], "frac_coords": [[0.0000, 0.0000, 0.0000], [0.5000, 0.5000, 0.5000], [0.0000, 0.5000, 0.5000], [0.5000, 0.0000, 0.5000], [0.5000, 0.5000, 0.0000]]}